Run P
This record from the Alexandria database describes a PBEsol-optimized structure of K4Ag. The functional is SCAN.

```
data_K4Ag
_chemical_formula_sum 'K4 Ag1'
_cell_length_a 7.0520
_cell_length_b 7.0520
_cell_length_c 7.0520
_cell_angle_alpha 109.47
_cell_angle_beta 109.47
_cell_angle_gamma 109.47
_symmetry_space_group_name_H-M 'P 1'
_symmetry_Int_Tables_number 1
loop_
_symmetry_equiv_pos_as_xyz
'x,y,z'
loop_
_atom_site_label
_atom_site_type_symbol
_atom_site_fract_x
_atom_site_fract_y
_atom_site_fract_z
_atom_site_occupancy
K1 K 0.5000 0.0000 0.0000 1
Ag1 Ag 0.0000 0.0000 0.0000 1
K2 K 0.5000 0.5000 0.5000 1
K3 K 0.0000 0.5000 0.0000 1
K4 K 0.0000 0.0000 0.5000 1
```

Summary:
Its space group is Im-3m, No. 229. The spin magnetization is 0.00 μB/atom.


Run Q
This record from the Alexandria database describes a PBEsol-optimized structure of K4Ag. The functional is SCAN.

```
data_K4Ag
_chemical_formula_sum 'K4 Ag1'
_cell_length_a 4.3170
_cell_length_b 8.0410
_cell_length_c 8.0410
_cell_angle_alpha 85.87
_cell_angle_beta 74.43
_cell_angle_gamma 74.43
_symmetry_space_group_name_H-M 'P 1'
_symmetry_Int_Tables_number 1
loop_
_symmetry_equiv_pos_as_xyz
'x,y,z'
loop_
_atom_site_label
_atom_site_type_symbol
_atom_site_fract_x
_atom_site_fract_y
_atom_site_fract_z
_atom_site_occupancy
K1 K 0.4412 0.8102 0.3074 1
K2 K 0.7486 0.6926 0.8102 1
Ag1 Ag 0.0000 0.0000 0.0000 1
K3 K 0.5588 0.1898 0.6926 1
K4 K 0.2514 0.3074 0.1898 1
```

Summary:
Its space group is I4/m, No. 87. The spin magnetization is 0.01 μB/atom.


Relative energies, unit kJ/mol of atoms: run P 2.2; run Q 0.0


Run P
This record from the Alexandria database describes a PBEsol-optimized structure of KMnAg2. The functional is SCAN.

```
data_KMnAg2
_chemical_formula_sum 'K1 Mn1 Ag2'
_cell_length_a 3.3529
_cell_length_b 3.3529
_cell_length_c 8.0695
_cell_angle_alpha 90.00
_cell_angle_beta 90.00
_cell_angle_gamma 90.00
_symmetry_space_group_name_H-M 'P 1'
_symmetry_Int_Tables_number 1
loop_
_symmetry_equiv_pos_as_xyz
'x,y,z'
loop_
_atom_site_label
_atom_site_type_symbol
_atom_site_fract_x
_atom_site_fract_y
_atom_site_fract_z
_atom_site_occupancy
Ag1 Ag 0.0000 0.0000 0.9936 1
K1 K 0.0000 0.0000 0.4886 1
Ag2 Ag 0.5000 0.5000 0.1805 1
Mn1 Mn 0.5000 0.5000 0.8373 1
```

Summary:
Its space group is P4mm, No. 99. The spin magnetization is 1.13 μB/atom.


Run Q
This record from the Alexandria database describes a PBEsol-optimized structure of KMnAg2. The functional is SCAN.

```
data_KMnAg2
_chemical_formula_sum 'K1 Mn1 Ag2'
_cell_length_a 3.2520
_cell_length_b 3.2520
_cell_length_c 8.0976
_cell_angle_alpha 90.00
_cell_angle_beta 90.00
_cell_angle_gamma 90.00
_symmetry_space_group_name_H-M 'P 1'
_symmetry_Int_Tables_number 1
loop_
_symmetry_equiv_pos_as_xyz
'x,y,z'
loop_
_atom_site_label
_atom_site_type_symbol
_atom_site_fract_x
_atom_site_fract_y
_atom_site_fract_z
_atom_site_occupancy
Ag1 Ag 0.0000 0.0000 0.6785 1
Ag2 Ag 0.0000 0.0000 0.3215 1
Mn1 Mn 0.5000 0.5000 0.5000 1
K1 K 0.5000 0.5000 0.0000 1
```

Summary:
Its space group is P4/mmm, No. 123. The spin magnetization is 1.04 μB/atom.


Relative energies, unit kJ/mol of atoms: run P 12.3; run Q 0.0


Run P
This record from the Alexandria database describes a PBEsol-optimized structure of KMnAg2. The functional is SCAN.

```
data_KMnAg2
_chemical_formula_sum 'K1 Mn1 Ag2'
_cell_length_a 2.9699
_cell_length_b 5.2201
_cell_length_c 5.2201
_cell_angle_alpha 90.00
_cell_angle_beta 90.00
_cell_angle_gamma 90.00
_symmetry_space_group_name_H-M 'P 1'
_symmetry_Int_Tables_number 1
loop_
_symmetry_equiv_pos_as_xyz
'x,y,z'
loop_
_atom_site_label
_atom_site_type_symbol
_atom_site_fract_x
_atom_site_fract_y
_atom_site_fract_z
_atom_site_occupancy
K1 K 0.5000 0.5000 0.5000 1
Ag1 Ag 0.0000 0.5000 0.0000 1
Mn1 Mn 0.5000 0.0000 0.0000 1
Ag2 Ag 0.0000 0.0000 0.5000 1
```

Summary:
Its space group is P4/mmm, No. 123. The spin magnetization is 1.10 μB/atom.


Run Q
This record from the Alexandria database describes a PBEsol-optimized structure of KMnAg2. The functional is SCAN.

```
data_KMnAg2
_chemical_formula_sum 'K1 Mn1 Ag2'
_cell_length_a 4.8975
_cell_length_b 4.8975
_cell_length_c 4.8975
_cell_angle_alpha 60.00
_cell_angle_beta 60.00
_cell_angle_gamma 60.00
_symmetry_space_group_name_H-M 'P 1'
_symmetry_Int_Tables_number 1
loop_
_symmetry_equiv_pos_as_xyz
'x,y,z'
loop_
_atom_site_label
_atom_site_type_symbol
_atom_site_fract_x
_atom_site_fract_y
_atom_site_fract_z
_atom_site_occupancy
Ag1 Ag 0.7500 0.7500 0.7500 1
K1 K 0.5000 0.5000 0.5000 1
Ag2 Ag 0.0000 0.0000 0.0000 1
Mn1 Mn 0.2500 0.2500 0.2500 1
```

Summary:
Its space group is F-43m, No. 216. The spin magnetization is 1.18 μB/atom.


Relative energies, unit kJ/mol of atoms: run P 0.0; run Q 15.5